Record 1
Compound: KCrSe
Source: Alexandria
Functional: PBE
Structure: relaxed

Values from the calculation:
Raw formation energy   1.52 eV/f.u.
Symmetry   F-43m

Geometry as POSCAR:
```
KCrSe
1.0
5.055 0.000 0.000
2.528 4.378 0.000
2.528 1.459 4.128
K Cr Se
1 1 1
Direct
0.750 0.750 0.750
0.500 0.500 0.500
0.000 0.000 0.000
```

---

Record 2
Compound: TcTeSe2
Source: Alexandria
Functional: PBE
Structure: relaxed

Values from the calculation:
Raw formation energy   2.47 eV/f.u.
Symmetry   F-43m

Geometry as POSCAR:
```
TcTeSe2
1.0
4.784 0.000 0.000
2.392 4.143 0.000
2.392 1.381 3.906
Tc Se Te
1 2 1
Direct
0.500 0.500 0.500
0.250 0.250 0.250
0.000 0.000 0.000
0.750 0.750 0.750
```

---

Record 3
Compound: YSbI2N
Source: Alexandria
Functional: PBE
Structure: relaxed

Values from the calculation:
Raw formation energy   1.76 eV/f.u.
Symmetry   P4/mmm

Geometry as POSCAR:
```
YSbI2N
1.0
-3.125 3.472 -1.489
-2.636 -0.621 4.087
2.840 3.574 2.375
Sb Y I N
1 1 2 1
Direct
0.000 0.000 0.500
0.500 0.500 0.500
0.500 0.000 0.000
0.000 0.500 0.000
0.000 0.000 0.000
```

---

Record 4
Compound: Nb3SiAg
Source: Alexandria
Functional: PBE
Structure: relaxed

Values from the calculation:
Raw formation energy   3.49 eV/f.u.
Symmetry   Pm-3m

Geometry as POSCAR:
```
Nb3SiAg
1.0
-1.090 0.183 -4.544
3.820 -2.498 -1.017
-2.467 -3.949 0.433
Nb Si Ag
3 1 1
Direct
0.500 0.000 0.000
0.000 0.000 0.500
0.000 0.500 0.000
0.000 0.000 0.000
0.500 0.500 0.500
```

---

Record 5
Compound: Li3MgAg
Source: Alexandria
Functional: PBE
Structure: relaxed

Values from the calculation:
ΔH_f (0 K)   -0.125 eV/atom
Symmetry   C2/m

Geometry as POSCAR:
```
Li3MgAg
1.0
0.595 0.384 4.637
-1.574 -5.551 0.662
6.229 -3.221 1.840
Li Ag Mg
6 2 2
Direct
0.993 0.739 0.014
0.795 0.758 0.410
0.007 0.261 0.986
0.611 0.456 0.778
0.205 0.242 0.590
0.389 0.544 0.222
0.813 0.277 0.374
0.187 0.723 0.626
0.389 0.046 0.223
0.611 0.954 0.777
```

---

Record 6
Compound: CaLa3Ir
Source: Alexandria
Functional: PBE
Structure: relaxed

Values from the calculation:
ΔH_f (0 K)   0.599 eV/atom
Symmetry   I-4m2

Geometry as POSCAR:
```
CaLa3Ir
1.0
-2.198 -4.702 2.489
3.685 0.597 4.381
-7.841 5.256 9.661
La Ir Ca
6 2 2
Direct
0.138 0.899 0.725
0.709 0.709 0.583
0.291 0.291 0.417
0.138 0.377 0.725
0.623 0.862 0.275
0.101 0.862 0.275
0.802 0.302 0.397
0.698 0.198 0.603
0.000 0.000 0.000
0.250 0.750 0.500
```